A geometry-optimized SrAcPtRh structure. Source: Alexandria, functional PBE.

Results
- Excess energy over the best structure of this formula in the dataset: 0 meV/atom
- Crystal system: orthorhombic

Unit cell a=4.3957 b=4.1930 c=11.5121 alpha=90.00 beta=90.00 gamma=90.00
Space group Amm2 (No. 38)
One atom of each set of equivalent atoms:
Sr 0.0000 0.0000 0.0000 (multiplicity 2)
Ac 0.5000 0.0000 0.7210 (multiplicity 2)
Pt 0.5000 0.0000 0.4346 (multiplicity 2)
Rh 0.0000 0.0000 0.2791 (multiplicity 2)

***

A geometry-optimized Sr2Ac2Pt2Rh structure. Source: Alexandria, functional PBE.

Results
- Crystal system: triclinic

Unit cell a=4.0848 b=7.8519 c=7.9984 alpha=114.46 beta=90.07 gamma=104.95
Space group P-1 (No. 2)
One atom of each set of equivalent atoms:
Sr 0.2192 0.4369 0.2714 (multiplicity 2)
Ac 0.4754 0.9499 0.2440 (multiplicity 2)
Pt 0.1088 0.2173 0.5433 (multiplicity 2)
Rh 0.0000 0.0000 0.0000 (multiplicity 1)

***

A geometry-optimized AcTbPtRh structure. Source: Alexandria, functional PBE.

Results
- Crystal system: cubic

Unit cell a=7.2350 b=7.2350 c=7.2350 alpha=90.00 beta=90.00 gamma=90.00
Space group F-43m (No. 216)
One atom of each set of equivalent atoms:
Ac 0.0000 0.0000 0.0000 (multiplicity 4)
Tb 0.0000 0.0000 0.5000 (multiplicity 4)
Pt 0.2500 0.2500 0.7500 (multiplicity 4)
Rh 0.2500 0.2500 0.2500 (multiplicity 4)

***

no.,Fermi-level density of states (states/eV/atom),formation enthalpy at 0 K (meV per atom)
1,0.188,-732
2,0.618,-742
3,0.567,-839